1.
Entry from OQMD via LeMat-Bulk: Zr2Ag2Se3S after structural relaxation (GGA-PBE).

Crystal system: monoclinic
E_tot: -5.312 eV/atom

Cell: 12.5024 6.3661 5.9375 Å, 90.00 113.73 90.00°
Space group C2 (No. 5)
One atom of each set of equivalent atoms:
Zr: 0.1074 0.0000 0.3975
Ag: 0.1320 0.5117 0.8627
Se: 0.0000 0.7780 0.0000
Se: 0.2354 0.2710 0.2628
S: 0.0000 0.2869 0.5000

2.
Entry from OQMD via LeMat-Bulk: ErTmIn2Pd4 after structural relaxation (GGA-PBE).

Crystal system: hexagonal
E_tot: -5.229 eV/atom

Cell: 4.5791 4.5791 8.8260 Å, 90.00 90.00 120.00°
Space group P-6m2 (No. 187)
One atom of each set of equivalent atoms:
Er: 0.0000 0.0000 0.0000
Tm: 0.6667 0.3333 0.5000
In: 0.3333 0.6667 0.2507
Pd: 0.0000 0.0000 0.3374
Pd: 0.6667 0.3333 0.1638

3.
Entry from OQMD via LeMat-Bulk: Y2HgB after structural relaxation (GGA-PBE).

Crystal system: cubic
E_tot: -4.152 eV/atom

Cell: 7.0513 7.0513 7.0513 Å, 90.00 90.00 90.00°
Space group F-43m (No. 216)
One atom of each set of equivalent atoms:
Y: 0.0000 0.0000 0.0000
Y: 0.2500 0.2500 0.2500
Hg: 0.2500 0.2500 0.7500
B: 0.0000 0.0000 0.5000

4.
Entry from OQMD via LeMat-Bulk: TlPbAuSeS2 after structural relaxation (GGA-PBE).

Crystal system: orthorhombic
E_tot: -3.682 eV/atom

Cell: 4.1384 14.3554 10.9912 Å, 90.00 90.00 90.00°
Space group Cmcm (No. 63)
One atom of each set of equivalent atoms:
Tl: 0.0000 0.2075 0.2500
Pb: 0.0000 0.5000 0.0000
Au: 0.0000 0.1362 0.7500
Se: 0.0000 0.4383 0.7500
S: 0.0000 0.1308 0.5396

5.
Entry from OQMD via LeMat-Bulk: CsRbEr2S4 after structural relaxation (GGA-PBE).

Crystal system: hexagonal
E_tot: -5.274 eV/atom

Cell: 4.0463 4.0463 15.6890 Å, 90.00 90.00 120.00°
Space group P-6m2 (No. 187)
One atom of each set of equivalent atoms:
Cs: 0.0000 0.0000 0.0000
Rb: 0.3333 0.6667 0.5000
Er: 0.6667 0.3333 0.2554
S: 0.0000 0.0000 0.3485
S: 0.3333 0.6667 0.1626

6.
Entry from OQMD via LeMat-Bulk: YErCu2Si2 after structural relaxation (GGA-PBE).

Crystal system: trigonal
Energy relative to the lowest polymorph listed for this composition: 0 meV/atom

Cell: 4.1302 4.1302 7.4741 Å, 90.00 90.00 120.00°
Space group P-3m1 (No. 164)
One atom of each set of equivalent atoms:
Y: 0.0000 0.0000 0.0000
Er: 0.0000 0.0000 0.5000
Cu: 0.3333 0.6667 0.2533
Si: 0.3333 0.6667 0.7472

Calculated V in order - 27.04, 20.03, 21.91, 27.21, 27.81, 18.40 A^3/atom